Version 1
## PPbBr2 (PBE)

Data for a geometry-optimized PPbBr2 structure.

Lattice parameters (Å, degrees): 8.2776 8.2776 4.2709 104.48 104.48 26.09
Atoms (fractional coordinates):
P 0.0000 0.0000 0.0000
Pb 0.6536 0.6536 0.1485
Br 0.2423 0.2423 0.7346
Br 0.4909 0.4909 0.4912

As for the volume: 31.1 Å³/atom. The calculation puts the density of states at the Fermi level at 0.301 states/eV/atom. As for the space group: Cm (8).

***

Version 2
## PPbBr2 (PBE)

Data for a geometry-optimized PPbBr2 structure.

Lattice parameters (Å, degrees): 5.0120 4.5273 5.0306 90.00 95.71 90.00
Atoms (fractional coordinates):
P 0.0000 0.0000 0.0000
Pb 0.5000 0.0000 0.5000
Br 0.2230 0.5000 0.7769
Br 0.7770 0.5000 0.2231

As for the volume: 28.4 Å³/atom. The calculation puts the density of states at the Fermi level at 0.344 states/eV/atom. As for the space group: P2/m (10).

***

Version 3
## PPbBr2 (PBE)

Data for a geometry-optimized PPbBr2 structure.

Lattice parameters (Å, degrees): 10.3037 10.3037 10.3037 19.61 19.61 19.61
Atoms (fractional coordinates):
P 0.0000 0.0000 0.0000
Pb 0.5000 0.5000 0.5000
Br 0.4010 0.4010 0.4010
Br 0.5990 0.5990 0.5990

As for the volume: 26.9 Å³/atom. The calculation puts the density of states at the Fermi level at 0.598 states/eV/atom. As for the space group: R-3m (166).

***

Version 4
## PPbBr2 (PBE)

Data for a geometry-optimized PPbBr2 structure.

Lattice parameters (Å, degrees): 9.3379 9.3379 9.3379 22.33 22.33 22.33
Atoms (fractional coordinates):
P 0.0000 0.0000 0.0000
Pb 0.5000 0.5000 0.5000
Br 0.2585 0.2585 0.2585
Br 0.7415 0.7415 0.7415

As for the volume: 25.8 Å³/atom. The calculation puts the density of states at the Fermi level at 0.588 states/eV/atom. As for the space group: R-3m (166).

***

Which of them is the most stable? Correct choice: version 1.

***

Version 1
## PPbBr3 (PBE)

Data for a geometry-optimized PPbBr3 structure.

Lattice parameters (Å, degrees): 5.2334 5.2334 5.2334 90.00 90.00 90.00
Atoms (fractional coordinates):
P 0.0000 0.0000 0.0000
Pb 0.5000 0.5000 0.5000
Br 0.0000 0.0000 0.5000
Br 0.0000 0.5000 0.0000
Br 0.5000 0.0000 0.0000

As for the volume: 28.7 Å³/atom. The calculation puts the density of states at the Fermi level at 0.765 states/eV/atom. As for the space group: Pm-3m (221).

***

Version 2
## PPbBr3 (PBE)

Data for a geometry-optimized PPbBr3 structure.

Lattice parameters (Å, degrees): 5.8049 5.8049 5.8049 90.00 90.00 90.00
Atoms (fractional coordinates):
P 0.0000 0.0000 0.0000
Pb 0.5000 0.5000 0.5000
Br 0.0000 0.5000 0.5000
Br 0.5000 0.0000 0.5000
Br 0.5000 0.5000 0.0000

As for the volume: 39.1 Å³/atom. The calculation puts the density of states at the Fermi level at 2.257 states/eV/atom. As for the space group: Pm-3m (221).

***

Which of them is the most stable? Correct choice: version 1.

***

Version 1
## PPb2Br (PBE)

Data for a geometry-optimized PPb2Br structure.

Lattice parameters (Å, degrees): 7.0947 7.0947 7.0947 112.58 112.58 103.42
Atoms (fractional coordinates):
P 0.0000 0.0000 0.0000
P 0.7500 0.2500 0.5000
Pb 0.0786 0.1250 0.4536
Pb 0.3750 0.9214 0.0464
Pb 0.6714 0.6250 0.5464
Pb 0.8750 0.3286 0.9536
Br 0.2500 0.7500 0.5000
Br 0.5000 0.5000 0.0000

As for the volume: 34.1 Å³/atom. The calculation puts the density of states at the Fermi level at 0.000 states/eV/atom. As for the space group: I-42d (122).

***

Version 2
## PPb2Br (PBE)

Data for a geometry-optimized PPb2Br structure.

Lattice parameters (Å, degrees): 5.6629 5.6629 5.6629 133.73 112.93 85.36
Atoms (fractional coordinates):
P 0.0000 0.0000 0.0000
Pb 0.2174 0.7174 0.5000
Pb 0.7826 0.2826 0.5000
Br 0.5000 0.5000 0.0000

As for the volume: 29.0 Å³/atom. The calculation puts the density of states at the Fermi level at 0.300 states/eV/atom. As for the space group: Immm (71).

***

Version 3
## PPb2Br (PBE)

Data for a geometry-optimized PPb2Br structure.

Lattice parameters (Å, degrees): 4.3460 4.3460 6.7180 90.00 90.00 90.00
Atoms (fractional coordinates):
P 0.0000 0.0000 0.0000
Pb 0.0000 0.0000 0.3878
Pb 0.5000 0.5000 0.9545
Br 0.5000 0.5000 0.4753

As for the volume: 31.7 Å³/atom. As for the space group: P4mm (99).

***

Version 4
## PPb2Br (PBE)

Data for a geometry-optimized PPb2Br structure.

Lattice parameters (Å, degrees): 6.6515 6.6515 6.6515 141.96 141.96 54.89
Atoms (fractional coordinates):
P 0.0000 0.0000 0.0000
Pb 0.2500 0.7500 0.5000
Pb 0.5000 0.5000 0.0000
Br 0.7500 0.2500 0.5000

As for the volume: 27.7 Å³/atom. The calculation puts the density of states at the Fermi level at 0.320 states/eV/atom. As for the space group: I-4m2 (119).

***

Which of them is the most stable? Correct choice: version 3.

***

Version 1
## P2PbBr2 (PBE)

Data for a geometry-optimized P2PbBr2 structure.

Lattice parameters (Å, degrees): 8.7550 8.7550 3.2463 90.00 90.00 90.00
Atoms (fractional coordinates):
P 0.2210 0.2790 0.0000
P 0.2790 0.7790 0.0000
P 0.7210 0.2210 0.0000
P 0.7790 0.7210 0.0000
Pb 0.0000 0.0000 0.5000
Pb 0.5000 0.5000 0.5000
Br 0.1210 0.6210 0.5000
Br 0.3790 0.1210 0.5000
Br 0.6210 0.8790 0.5000
Br 0.8790 0.3790 0.5000

As for the volume: 24.9 Å³/atom. The calculation puts the density of states at the Fermi level at 0.722 states/eV/atom. As for the space group: P4/mbm (127).

***

Version 2
## P2PbBr2 (PBE)

Data for a geometry-optimized P2PbBr2 structure.

Lattice parameters (Å, degrees): 12.3012 12.3012 12.3012 163.64 163.64 23.22
Atoms (fractional coordinates):
P 0.2500 0.7500 0.5000
P 0.7500 0.2500 0.5000
Pb 0.0000 0.0000 0.0000
Br 0.4213 0.4213 0.0000
Br 0.5787 0.5787 0.0000

As for the volume: 29.5 Å³/atom. The calculation puts the density of states at the Fermi level at 0.445 states/eV/atom. As for the space group: I4/mmm (139).

***

Which of them is the most stable? Correct choice: version 2.

***

Version 1
## PPbSe2Br (PBE)

Data for a geometry-optimized PPbSe2Br structure.

Lattice parameters (Å, degrees): 5.5831 5.5831 5.6252 90.00 90.00 90.00
Atoms (fractional coordinates):
P 0.0000 0.0000 0.0000
Pb 0.5000 0.5000 0.5000
Se 0.0000 0.5000 0.5000
Se 0.5000 0.0000 0.5000
Br 0.5000 0.5000 0.0000

As for the volume: 35.1 Å³/atom. The calculation puts the density of states at the Fermi level at 1.009 states/eV/atom. As for the space group: P4/mmm (123).

***

Version 2
## PPbSe2Br (PBE)

Data for a geometry-optimized PPbSe2Br structure.

Lattice parameters (Å, degrees): 5.0100 5.0100 5.0222 90.00 90.00 90.00
Atoms (fractional coordinates):
P 0.0000 0.0000 0.0000
Pb 0.5000 0.5000 0.5000
Se 0.0000 0.5000 0.0000
Se 0.5000 0.0000 0.0000
Br 0.0000 0.0000 0.5000

As for the volume: 25.2 Å³/atom. The calculation puts the density of states at the Fermi level at 0.392 states/eV/atom. As for the space group: P4/mmm (123).

***

Which of them is the most stable? Correct choice: version 2.

***

Version 1
## PPd3Br (PBE)

Data for a geometry-optimized PPd3Br structure.

Lattice parameters (Å, degrees): 4.5857 4.5857 4.5857 90.00 90.00 90.00
Atoms (fractional coordinates):
P 0.0000 0.0000 0.0000
Pd 0.0000 0.0000 0.5000
Pd 0.0000 0.5000 0.0000
Pd 0.5000 0.0000 0.0000
Br 0.5000 0.5000 0.5000

As for the volume: 19.3 Å³/atom. The calculation puts the density of states at the Fermi level at 0.562 states/eV/atom. As for the space group: Pm-3m (221).

***

Version 2
## PPd3Br (PBE)

Data for a geometry-optimized PPd3Br structure.

Lattice parameters (Å, degrees): 4.7438 4.7438 4.7438 90.00 90.00 90.00
Atoms (fractional coordinates):
P 0.0000 0.0000 0.0000
Pd 0.0000 0.5000 0.5000
Pd 0.5000 0.0000 0.5000
Pd 0.5000 0.5000 0.0000
Br 0.5000 0.5000 0.5000

As for the volume: 21.4 Å³/atom. The calculation puts the density of states at the Fermi level at 0.952 states/eV/atom. As for the space group: Pm-3m (221).

***

Which of them is the most stable? Correct choice: version 1.

***

Version 1
## P2PdBr8 (PBE)

Data for a geometry-optimized P2PdBr8 structure.

Lattice parameters (Å, degrees): 8.5527 8.5527 7.2235 95.72 95.72 61.36
Atoms (fractional coordinates):
P 0.2038 0.2038 0.2919
P 0.7962 0.7962 0.7081
Pd 0.0000 0.0000 0.0000
Br 0.1369 0.7313 0.7868
Br 0.2071 0.2071 0.6007
Br 0.2687 0.8631 0.2132
Br 0.3589 0.3589 0.2691
Br 0.6411 0.6411 0.7309
Br 0.7313 0.1369 0.7868
Br 0.7929 0.7929 0.3993
Br 0.8631 0.2687 0.2132

As for the volume: 41.9 Å³/atom. As for the space group: C2/m (12).

***

Version 2
## P2PdBr8 (PBE)

Data for a geometry-optimized P2PdBr8 structure.

Lattice parameters (Å, degrees): 7.1052 7.1052 9.8501 101.59 101.59 96.57
Atoms (fractional coordinates):
P 0.1826 0.1826 0.1563
P 0.8174 0.8174 0.8437
Pd 0.5000 0.5000 0.5000
Br 0.1379 0.4582 0.3007
Br 0.2909 0.2909 0.9844
Br 0.3281 0.3281 0.6434
Br 0.4582 0.1379 0.3007
Br 0.5418 0.8621 0.6993
Br 0.6719 0.6719 0.3566
Br 0.7091 0.7091 0.0156
Br 0.8621 0.5418 0.6993

As for the volume: 42.8 Å³/atom. As for the space group: C2/m (12).

***

Which of them is the most stable? Correct choice: version 2.

***

Version 1
## P2PdSBr (PBE)

Data for a geometry-optimized P2PdSBr structure.

Lattice parameters (Å, degrees): 4.7618 4.7618 4.7192 90.00 90.00 90.00
Atoms (fractional coordinates):
P 0.0000 0.5000 0.0000
P 0.5000 0.0000 0.0000
Pd 0.0000 0.0000 0.0000
S 0.0000 0.0000 0.5000
Br 0.5000 0.5000 0.5000

As for the volume: 21.4 Å³/atom. The calculation puts the density of states at the Fermi level at 1.210 states/eV/atom. As for the space group: P4/mmm (123).

***

Version 2
## P2PdSBr (PBE)

Data for a geometry-optimized P2PdSBr structure.

Lattice parameters (Å, degrees): 4.8557 4.8557 4.6569 90.00 90.00 90.00
Atoms (fractional coordinates):
P 0.0000 0.5000 0.0000
P 0.5000 0.0000 0.0000
Pd 0.0000 0.0000 0.5000
S 0.5000 0.5000 0.5000
Br 0.5000 0.5000 0.0000

As for the volume: 22.0 Å³/atom. The calculation puts the density of states at the Fermi level at 0.935 states/eV/atom. As for the space group: P4/mmm (123).

***

Which of them is the most stable? Correct choice: version 1.

***

Version 1
## Pm2PBr (PBE)

Data for a geometry-optimized Pm2PBr structure.

Lattice parameters (Å, degrees): 5.0598 5.0598 3.6861 90.00 90.00 90.00
Atoms (fractional coordinates):
Pm 0.0000 0.5000 0.0000
Pm 0.5000 0.0000 0.0000
P 0.0000 0.0000 0.5000
Br 0.5000 0.5000 0.5000

As for the volume: 23.6 Å³/atom. The calculation puts the density of states at the Fermi level at 0.844 states/eV/atom. As for the space group: P4/mmm (123).

***

Version 2
## Pm2PBr (PBE)

Data for a geometry-optimized Pm2PBr structure.

Lattice parameters (Å, degrees): 5.1044 5.1044 5.1044 60.00 60.00 60.00
Atoms (fractional coordinates):
Pm 0.2500 0.2500 0.2500
Pm 0.7500 0.7500 0.7500
P 0.0000 0.0000 0.0000
Br 0.5000 0.5000 0.5000

As for the volume: 23.5 Å³/atom. The calculation puts the density of states at the Fermi level at 0.681 states/eV/atom. As for the space group: Fm-3m (225).

***

Which of them is the most stable? Correct choice: version 2.

***

Version 1
## Pm2PBr (PBE)

Data for a geometry-optimized Pm2PBr structure.

Lattice parameters (Å, degrees): 7.6159 7.6159 7.6159 31.60 31.60 31.60
Atoms (fractional coordinates):
Pm 0.2331 0.2331 0.2331
Pm 0.7669 0.7669 0.7669
P 0.5000 0.5000 0.5000
Br 0.0000 0.0000 0.0000

As for the volume: 26.9 Å³/atom. The calculation puts the density of states at the Fermi level at 0.397 states/eV/atom. As for the space group: R-3m (166).

***

Version 2
## Pm2PBr (PBE)

Data for a geometry-optimized Pm2PBr structure.

Lattice parameters (Å, degrees): 7.8050 7.8050 7.8050 30.26 30.26 30.26
Atoms (fractional coordinates):
Pm 0.0000 0.0000 0.0000
Pm 0.1980 0.1980 0.1980
P 0.5977 0.5977 0.5977
Br 0.7670 0.7670 0.7670

As for the volume: 26.7 Å³/atom. The calculation puts the density of states at the Fermi level at 0.258 states/eV/atom. As for the space group: R3m (160).

***

Which of them is the most stable? Correct choice: version 1.

***

Version 1
## PPtBr (PBE)

Data for a geometry-optimized PPtBr structure.

Lattice parameters (Å, degrees): 3.5318 3.5318 6.8231 90.00 90.00 120.00
Atoms (fractional coordinates):
P 0.0000 0.0000 0.0000
Pt 0.3333 0.6667 0.1808
Br 0.6667 0.3333 0.4437

As for the volume: 24.6 Å³/atom. As for the space group: P3m1 (156).

***

Version 2
## PPtBr (PBE)

Data for a geometry-optimized PPtBr structure.

Lattice parameters (Å, degrees): 6.1827 6.1827 6.1827 148.33 148.33 45.40
Atoms (fractional coordinates):
P 0.0000 0.0000 0.0000
Pt 0.4559 0.4559 0.0000
Br 0.1999 0.1999 0.0000

As for the volume: 21.6 Å³/atom. The calculation puts the density of states at the Fermi level at 0.388 states/eV/atom. As for the space group: I4mm (107).

***

Version 3
## PPtBr (PBE)

Data for a geometry-optimized PPtBr structure.

Lattice parameters (Å, degrees): 4.4669 4.4669 4.4669 60.00 60.00 60.00
Atoms (fractional coordinates):
P 0.0000 0.0000 0.0000
Pt 0.5000 0.5000 0.5000
Br 0.2500 0.2500 0.2500

As for the volume: 21.0 Å³/atom. The calculation puts the density of states at the Fermi level at 0.393 states/eV/atom. As for the space group: F-43m (216).

***

Version 4
## PPtBr (PBE)

Data for a geometry-optimized PPtBr structure.

Lattice parameters (Å, degrees): 7.1597 6.5757 3.7701 82.83 65.68 31.50
Atoms (fractional coordinates):
P 0.0000 0.0000 0.0000
Pt 0.3906 0.3906 0.6094
Br 0.7371 0.7371 0.2629

As for the volume: 24.8 Å³/atom. The calculation puts the density of states at the Fermi level at 0.665 states/eV/atom. As for the space group: Fmm2 (42).

***

Which of them is the most stable? Correct choice: version 1.